DFT (PBE) results for crystalline Re7W6 at its relaxed geometry.

Properties
Symmetry: No. 166
Energy above the lowest structure with this stoichiometry (meV per atom): 0.0
Energy of formation (meV/atom): 140

Unit cell a=9.617 b=9.617 c=9.617 alpha=30.80 beta=30.80 gamma=30.80
Sites, in units of the cell vectors:
Re: 0.000 0.000 0.000
Re: 0.091 0.091 0.584
Re: 0.091 0.584 0.091
Re: 0.416 0.909 0.909
Re: 0.584 0.091 0.091
Re: 0.909 0.416 0.909
Re: 0.909 0.909 0.416
W: 0.166 0.166 0.166
W: 0.348 0.348 0.348
W: 0.453 0.453 0.453
W: 0.547 0.547 0.547
W: 0.652 0.652 0.652
W: 0.834 0.834 0.834

---

DFT (PBE) results for crystalline MgZrTcBi at its relaxed geometry.

Properties
Symmetry: No. 216
Energy above the lowest structure with this stoichiometry (meV per atom): 114.7

Unit cell a=4.853 b=4.853 c=4.853 alpha=60.00 beta=60.00 gamma=60.00
Sites, in units of the cell vectors:
Mg: 0.000 0.000 0.000
Zr: 0.500 0.500 0.500
Tc: 0.250 0.250 0.250
Bi: 0.750 0.750 0.750